No. 1
AcPrSm2 PBE relaxed; DOS(E_F) = 8.6 states/eV/f.u.; ΔE_f = 0.127 eV/atom; symmetry = No. 225
1.0
5.9422 0.0000 0.0000
2.9711 5.1461 0.0000
2.9711 1.7154 4.8518
Pr Sm Ac
1 2 1
direct
0.5000 0.5000 0.5000
0.7500 0.7500 0.7500
0.2500 0.2500 0.2500
0.0000 0.0000 0.0000

***

No. 2
ZnSeSN2 PBE relaxed; formation energy without anion corrections = 153.8 kJ per mole of atoms; DOS(E_F) = 2.5 states/eV/f.u.; symmetry = No. 123
1.0
3.8323 0.0000 0.0000
0.0000 3.8323 0.0000
0.0000 0.0000 5.8663
N S Se Zn
2 1 1 1
direct
0.5000 0.0000 0.0000
0.0000 0.5000 0.0000
0.0000 0.0000 0.5000
0.5000 0.5000 0.5000
0.0000 0.0000 0.0000

***

No. 3
Rb2In2Hg PBE relaxed; DOS(E_F) = 3.7 states/eV/f.u.; ΔE_f = 0.050 eV/atom; symmetry = No. 139
1.0
7.3669 0.0000 0.0000
0.0000 7.3669 0.0000
3.6835 3.6835 4.3545
Rb In Hg
2 2 1
direct
0.2500 0.7500 0.5000
0.7500 0.2500 0.5000
0.6599 0.6599 0.6802
0.3401 0.3401 0.3198
0.0000 0.0000 0.0000

***

No. 4
RbTh4Te5 PBE relaxed; formation energy without anion corrections = -108.6 kJ per mole of atoms; DOS(E_F) = 4.9 states/eV/f.u.; symmetry = No. 123
1.0
-0.9023 -3.0766 2.1829
1.6995 -2.3353 -2.5889
17.7074 1.8626 9.9439
Te Th Rb
5 4 1
direct
0.5000 0.5000 0.5000
0.5000 0.5000 0.8725
0.5000 0.5000 0.6885
0.5000 0.5000 0.3115
0.5000 0.5000 0.1275
0.0000 0.0000 0.4055
0.0000 0.0000 0.2155
0.0000 0.0000 0.5945
0.0000 0.0000 0.7845
0.0000 0.0000 0.0000

***

No. 5
CuSiTc2 PBE relaxed; formation energy without anion corrections = 4.2 kJ per mole of atoms; DOS(E_F) = 3.9 states/eV/f.u.; symmetry = No. 12
1.0
4.5525 -0.0016 0.0265
3.6865 2.6711 0.0265
1.1447 0.3709 4.5112
Tc Si Cu
2 1 1
direct
0.0116 0.0116 0.9966
0.4884 0.4884 0.5034
0.7500 0.7500 0.7500
0.2500 0.2500 0.2500

***

No. 6
AsPbSe2S PBE relaxed; formation energy without anion corrections = 44.2 kJ per mole of atoms; DOS(E_F) = 4.9 states/eV/f.u.; symmetry = No. 123
1.0
-1.5701 4.6570 -2.2359
-1.7594 -2.6792 -4.3449
-4.6917 -0.5167 2.2185
Se Pb As S
2 1 1 1
direct
0.5000 0.0000 0.0000
0.0000 0.5000 0.0000
0.5000 0.5000 0.5000
0.0000 0.0000 0.5000
0.0000 0.0000 0.0000

***

No. 7
PmThPtRh PBE relaxed; DOS(E_F) = 3.2 states/eV/f.u.; ΔE_f = -1.056 eV/atom; symmetry = No. 38
1.0
3.8808 0.0000 0.0000
0.0000 4.3523 0.0000
-1.9404 0.0000 5.5808
Pt Rh Th Pm
1 1 1 1
direct
0.5900 0.5000 0.1799
0.4021 0.0000 0.8042
0.8671 0.5000 0.7341
0.1409 0.0000 0.2818

***

No. 8
CeU2MnN4 PBE relaxed; formation energy without anion corrections = -117.8 kJ per mole of atoms; DOS(E_F) = 7.8 states/eV/f.u.; symmetry = No. 63
1.0
-1.8656 1.7038 -2.2017
0.4494 -5.5727 -2.1427
-9.2781 -2.9064 5.6127
N Ce U Mn
8 2 4 2
direct
0.5590 0.1181 0.2500
0.7277 0.4555 0.8805
0.7277 0.4555 0.6195
0.2723 0.5445 0.3805
0.4410 0.8819 0.7500
0.0000 0.0000 0.5000
0.2723 0.5445 0.1195
0.0000 0.0000 0.0000
0.8980 0.7961 0.2500
0.1020 0.2039 0.7500
0.3674 0.7348 0.5566
0.3674 0.7348 0.9434
0.6326 0.2652 0.4434
0.6326 0.2652 0.0566
0.1600 0.3200 0.2500
0.8400 0.6800 0.7500

***

No. 9
SrCaV2Ru PBE relaxed; DOS(E_F) = 6.5 states/eV/f.u.; ΔE_f = 2.259 eV/atom; symmetry = No. 123
1.0
-3.5077 2.7890 0.5720
-2.5771 -2.4316 -3.9478
-1.8134 -2.8884 2.9628
Sr Ru Ca V
1 1 1 2
direct
0.0000 0.5000 0.0000
0.5000 0.5000 0.5000
0.0000 0.0000 0.0000
0.0000 0.0000 0.5000
0.5000 0.0000 0.0000

***

No. 10
MoIr2Os PBE relaxed; DOS(E_F) = 5.0 states/eV/f.u.; ΔE_f = -0.063 eV/atom; symmetry = No. 12
1.0
-4.0985 -2.3519 0.7930
-2.1095 -3.8030 2.0114
-1.1944 1.8824 4.1920
Ir Os Mo
2 1 1
direct
0.9985 0.9985 0.0036
0.5015 0.5015 0.4964
0.2500 0.2500 0.2500
0.7500 0.7500 0.7500

***

No. 11
K3HgAu2 PBE relaxed; DOS(E_F) = 2.2 states/eV/f.u.; ΔE_f = -0.262 eV/atom; symmetry = No. 167
1.0
8.6440 0.8014 0.6245
3.5525 7.9209 0.6245
3.5525 2.5406 7.5283
K Au Hg
6 4 2
direct
0.4683 0.0317 0.7500
0.7500 0.4683 0.0317
0.9683 0.2500 0.5317
0.2500 0.5317 0.9683
0.5317 0.9683 0.2500
0.0317 0.7500 0.4683
0.1393 0.1393 0.1393
0.8607 0.8607 0.8607
0.6393 0.6393 0.6393
0.3607 0.3607 0.3607
0.0000 0.0000 0.0000
0.5000 0.5000 0.5000

***

No. 12
Ce2Ho6ErTm3 PBE relaxed; DOS(E_F) = 22.0 states/eV/f.u.; ΔE_f = 0.049 eV/atom; symmetry = No. 12
1.0
6.0780 -0.0001 0.0063
-3.0376 5.2645 0.0063
-1.0255 -1.7756 11.4532
Er Tm Ce Ho
1 3 2 6
direct
0.0000 0.0000 0.0000
0.8339 0.1661 0.5000
0.1661 0.8339 0.5000
0.5000 0.5000 0.5000
0.3334 0.6666 0.0000
0.6666 0.3334 0.0000
0.7491 0.7491 0.2504
0.4190 0.0841 0.2502
0.0841 0.4190 0.2502
0.2509 0.2509 0.7496
0.9159 0.5810 0.7498
0.5810 0.9159 0.7498

***

No. 13
ErHgH PBE relaxed; uncorrected energy = -2.878 eV/atom; DOS(E_F) = 2.3 states/eV/f.u.; symmetry = No. 107
1.0
-0.6266 -3.1025 -0.3309
0.5769 0.2165 -3.1222
5.3785 0.2649 2.6342
H Er Hg
1 1 1
direct
0.2660 0.2660 0.5320
0.7273 0.7273 0.4546
0.0067 0.0067 0.0134

***

No. 14
Ce5TmSn3 PBE relaxed; DOS(E_F) = 24.3 states/eV/f.u.; ΔE_f = -0.463 eV/atom; symmetry = No. 193
1.0
-6.1654 -2.3958 0.2483
0.1200 -1.2790 -9.3610
2.9158 -6.9078 5.7498
Sn Ce Tm
6 10 2
direct
0.2500 0.0000 0.3258
0.2500 0.3258 0.0000
0.7500 0.6742 0.0000
0.7500 0.3258 0.3258
0.7500 0.0000 0.6742
0.2500 0.6742 0.6742
0.0000 0.3333 0.6667
0.5000 0.3333 0.6667
0.2500 0.3394 0.3394
0.2500 0.0000 0.6606
0.0000 0.6667 0.3333
0.5000 0.6667 0.3333
0.7500 0.3394 0.0000
0.7500 0.6606 0.6606
0.7500 0.0000 0.3394
0.2500 0.6606 0.0000
0.0000 0.0000 0.0000
0.5000 0.0000 0.0000

***

No. 15
Sr2Li7Mg PBE relaxed; DOS(E_F) = 6.6 states/eV/f.u.; ΔE_f = 0.044 eV/atom; symmetry = No. 115
1.0
4.9495 0.0000 0.0000
0.0000 4.9495 0.0000
0.0000 0.0000 11.4681
Sr Mg Li
2 1 7
direct
0.5000 0.0000 0.7546
0.0000 0.5000 0.2454
0.5000 0.5000 0.0000
0.5000 0.0000 0.1278
0.5000 0.5000 0.5000
0.0000 0.5000 0.8722
0.5000 0.0000 0.3714
0.0000 0.0000 0.5000
0.0000 0.5000 0.6286
0.0000 0.0000 0.0000

***

No. 16
Mg3ZnNi PBE relaxed; DOS(E_F) = 1.7 states/eV/f.u.; ΔE_f = -0.146 eV/atom; symmetry = No. 14
1.0
5.4150 0.0000 0.0000
0.0000 7.0861 -2.1258
0.0000 0.1145 9.0791
Mg Zn Ni
12 4 4
direct
0.2665 0.3899 0.3418
0.5090 0.2072 0.5534
0.0090 0.7928 0.9466
0.0079 0.9966 0.3396
0.9921 0.0034 0.6604
0.2335 0.3899 0.8418
0.9910 0.2072 0.0534
0.4910 0.7928 0.4466
0.5079 0.0034 0.1604
0.4921 0.9966 0.8396
0.7665 0.6101 0.1582
0.7335 0.6101 0.6582
0.7366 0.3597 0.8405
0.7634 0.3597 0.3405
0.2366 0.6403 0.6595
0.2634 0.6403 0.1595
0.0031 0.3181 0.5711
0.9969 0.6819 0.4289
0.4969 0.3181 0.0711
0.5031 0.6819 0.9289

***

No. 17
EuZrRh2 PBE relaxed; DOS(E_F) = 9.3 states/eV/f.u.; ΔE_f = -0.640 eV/atom; symmetry = No. 123
1.0
-0.1310 1.8534 2.7408
2.2219 -1.9831 1.4472
5.4017 4.1786 -2.5674
Rh Zr Eu
2 1 1
direct
0.0000 0.0000 0.7903
0.0000 0.0000 0.2097
0.5000 0.5000 0.0000
0.5000 0.5000 0.5000

***

No. 18
Ta2AlFe5B2 PBE relaxed; DOS(E_F) = 8.0 states/eV/f.u.; ΔE_f = -0.489 eV/atom; symmetry = No. 127
1.0
2.9214 0.0000 0.0000
0.0000 8.6645 0.0000
0.0000 0.0000 8.6645
B Fe Ta Al
4 10 4 2
direct
0.0000 0.8786 0.3786
0.0000 0.3786 0.1214
0.0000 0.6214 0.8786
0.0000 0.1214 0.6214
0.5000 0.0000 0.5000
0.5000 0.4321 0.2805
0.5000 0.7195 0.4321
0.5000 0.2805 0.5679
0.5000 0.5679 0.7195
0.5000 0.7805 0.9321
0.5000 0.5000 0.0000
0.5000 0.2195 0.0679
0.5000 0.0679 0.7805
0.5000 0.9321 0.2195
0.0000 0.3227 0.8227
0.0000 0.6773 0.1773
0.0000 0.8227 0.6773
0.0000 0.1773 0.3227
0.0000 0.5000 0.5000
0.0000 0.0000 0.0000

***

No. 19
TiNbCd2 PBE relaxed; DOS(E_F) = 4.1 states/eV/f.u.; ΔE_f = 0.289 eV/atom; symmetry = No. 225
1.0
1.3244 -2.6514 3.7319
2.5205 1.9576 3.5391
-2.0201 0.7023 4.2587
Ti Cd Nb
1 2 1
direct
0.0000 0.0000 0.0000
0.2500 0.2500 0.2500
0.7500 0.7500 0.7500
0.5000 0.5000 0.5000

***

No. 20
Cs3Tb2ErTe6 PBE relaxed; formation energy without anion corrections = -133.7 kJ per mole of atoms; symmetry = No. 12
1.0
-3.5236 5.3216 -4.6409
-4.1953 -5.9162 3.1099
0.7697 5.2315 7.6519
Te Cs Tb Er
6 3 2 1
direct
0.9369 0.6064 0.8107
0.3936 0.0631 0.1893
0.7328 0.7328 0.1898
0.2672 0.2672 0.8102
0.6064 0.9369 0.8107
0.0631 0.3936 0.1893
0.8323 0.1677 0.5000
0.5000 0.5000 0.5000
0.1677 0.8323 0.5000
0.3335 0.6665 0.0000
0.6665 0.3335 0.0000
0.0000 0.0000 0.0000

***

no.,magnetic moment (μB/f.u.)
1,0.0
2,4.0
3,0.0
4,0.0
5,0.0
6,0.6
7,0.0
8,1.0
9,0.7
10,0.0
11,0.0
12,1.8
13,0.3
14,7.4
15,0.0
16,0.0
17,6.9
18,0.0
19,0.8
20,0.0